Computed, not measured: crystalline Ta3MnHg at its relaxed geometry at the PBE-GGA level of DFT.

a b c (Å): 4.6142 4.6142 4.6142
angles (deg): 90.00 90.00 90.00
Last column: nearest neighbours and their distance in Å.
Atoms (fractional coordinates):
Ta (0.0000, 0.0000, 0.5000)  2 Mn 2.31
Ta (0.0000, 0.5000, 0.0000)  2 Mn 2.31
Ta (0.5000, 0.0000, 0.0000)  2 Mn 2.31
Mn (0.0000, 0.0000, 0.0000)  6 Ta 2.31
Hg (0.5000, 0.5000, 0.5000)  12 Ta 3.26

Calculated values
As for the density of states at the Fermi level: 4.68 states/eV/cell. The calculated formation energy comes out at 0.771 eV per atom. As for the energy: -41.2 eV per cell. For the spin magnetization, the calculation gives 0.00 Bohr magnetons per cell. For the energy relative to the lowest polymorph listed for this composition, the calculation gives 0.0 meV/atom.